(1)
{
  "formula": "YCu2Ir2",
  "functional": "GGA-PBEsol",
  "state": "optimized geometry",
  "lattice_angstrom": [[3.880, 0.000, 0.000], [0.000, 3.880, 0.000], [-1.940, -1.940, 5.541]],
  "species": ["Cu", "Ir", "Y", "Cu", "Ir"],
  "frac_coords": [[0.250, 0.750, 0.500], [0.607, 0.607, 0.215], [0.000, 0.000, 0.000], [0.750, 0.250, 0.500], [0.393, 0.393, 0.785]],
  "spacegroup": "I4/mmm, No. 139",
  "m_tot_mub_per_fu": 0.001,
  "n_ef_per_ev_cell": 7.260,
  "volume_a3_per_cell": 83.4,
  "formation_enthalpy_0k_mev_per_atom": -96
}



(2)
{
  "formula": "Nb2SbO6",
  "functional": "GGA-PBEsol",
  "state": "optimized geometry",
  "lattice_angstrom": [[-1.521, 0.747, -4.667], [-1.920, -5.200, -0.207], [-6.746, 2.487, 5.237]],
  "species": ["O", "O", "Sb", "Sb", "O", "O", "Nb", "O", "O", "O", "Nb", "O", "O", "O", "Nb", "Nb", "O", "O"],
  "frac_coords": [[0.602, 0.422, 0.277], [0.856, 0.921, 0.867], [0.199, 0.750, 0.000], [0.801, 0.250, 0.000], [0.841, 0.659, 0.559], [0.159, 0.341, 0.441], [0.081, 0.341, 0.655], [0.989, 0.579, 0.133], [0.144, 0.079, 0.133], [0.718, 0.159, 0.559], [0.574, 0.841, 0.655], [0.324, 0.078, 0.723], [0.282, 0.841, 0.441], [0.676, 0.922, 0.277], [0.426, 0.159, 0.345], [0.919, 0.659, 0.345], [0.398, 0.578, 0.723], [0.011, 0.421, 0.867]],
  "spacegroup": "C2/c, No. 15",
  "m_tot_mub_per_fu": 0.003,
  "n_ef_per_ev_cell": 7.888,
  "volume_a3_per_cell": 235.2,
  "formation_energy_uncorrected_ev_per_atom": -2.18
}



(3)
{
  "formula": "K2NaScBr6",
  "functional": "GGA-PBEsol",
  "state": "optimized geometry",
  "lattice_angstrom": [[7.665, 0.000, 0.000], [3.833, 6.638, 0.000], [3.833, 2.213, 6.259]],
  "species": ["K", "Br", "Br", "Br", "Na", "Br", "Br", "K", "Br", "Sc"],
  "frac_coords": [[0.250, 0.250, 0.250], [0.241, 0.759, 0.759], [0.759, 0.241, 0.759], [0.241, 0.759, 0.241], [0.500, 0.500, 0.500], [0.759, 0.241, 0.241], [0.241, 0.241, 0.759], [0.750, 0.750, 0.750], [0.759, 0.759, 0.241], [0.000, 0.000, 0.000]],
  "spacegroup": "Fm-3m, No. 225",
  "m_tot_mub_per_fu": 0.000,
  "n_ef_per_ev_cell": 0.000,
  "volume_a3_per_cell": 318.5,
  "formation_energy_uncorrected_ev_per_atom": -1.67
}



(4)
{
  "formula": "KGa2Pt2",
  "functional": "GGA-PBEsol",
  "state": "optimized geometry",
  "lattice_angstrom": [[4.336, 0.000, 0.000], [0.000, 4.336, 0.000], [-2.168, -2.168, 5.274]],
  "species": ["Ga", "Ga", "K", "Pt", "Pt"],
  "frac_coords": [[0.250, 0.750, 0.500], [0.750, 0.250, 0.500], [0.000, 0.000, 0.000], [0.374, 0.374, 0.747], [0.626, 0.626, 0.253]],
  "spacegroup": "I4/mmm, No. 139",
  "m_tot_mub_per_fu": 0.000,
  "n_ef_per_ev_cell": 2.460,
  "volume_a3_per_cell": 99.2,
  "formation_enthalpy_0k_mev_per_atom": -419
}



(5)
{
  "formula": "Mg2CrPb",
  "functional": "GGA-PBEsol",
  "state": "optimized geometry",
  "lattice_angstrom": [[-2.446, -1.537, -1.528], [0.548, -2.848, -1.508], [-2.757, -6.195, 7.152]],
  "species": ["Mg", "Cr", "Pb", "Mg"],
  "frac_coords": [[0.244, 0.244, 0.269], [0.500, 0.500, 0.500], [0.000, 0.000, 0.000], [0.756, 0.756, 0.731]],
  "spacegroup": "R-3m, No. 166",
  "m_tot_mub_per_fu": 4.098,
  "n_ef_per_ev_cell": 2.893,
  "volume_a3_per_cell": 89.5,
  "formation_enthalpy_0k_mev_per_atom": 428
}



(6)
{
  "formula": "Tl3RhI",
  "functional": "GGA-PBEsol",
  "state": "optimized geometry",
  "lattice_angstrom": [[-2.630, 3.278, 3.172], [-0.313, -3.783, 3.649], [4.550, 1.634, 2.084]],
  "species": ["Rh", "Tl", "Tl", "I", "Tl"],
  "frac_coords": [[0.000, 0.000, 0.000], [0.000, 0.500, 0.000], [0.500, 0.000, 0.000], [0.500, 0.500, 0.500], [0.000, 0.000, 0.500]],
  "spacegroup": "Pm-3m, No. 221",
  "m_tot_mub_per_fu": 0.000,
  "n_ef_per_ev_cell": 1.979,
  "volume_a3_per_cell": 145.9,
  "formation_energy_uncorrected_ev_per_atom": -0.22
}



(7)
{
  "formula": "BeFe3Pb",
  "functional": "GGA-PBEsol",
  "state": "optimized geometry",
  "lattice_angstrom": [[-2.838, 3.751, 0.778], [-2.773, -1.343, -3.638], [-2.644, -2.618, 2.981]],
  "species": ["Pb", "Fe", "Be", "Fe", "Fe"],
  "frac_coords": [[0.000, 0.000, 0.000], [0.500, 0.000, 0.000], [0.500, 0.500, 0.500], [0.000, 0.500, 0.000], [0.000, 0.000, 0.500]],
  "spacegroup": "Pm-3m, No. 221",
  "m_tot_mub_per_fu": 8.056,
  "n_ef_per_ev_cell": 7.737,
  "volume_a3_per_cell": 108.4,
  "formation_enthalpy_0k_mev_per_atom": 2145
}



(8)
{
  "formula": "MgInAu2",
  "functional": "GGA-PBEsol",
  "state": "optimized geometry",
  "lattice_angstrom": [[4.128, 0.000, 0.000], [0.000, 4.128, 0.000], [-2.064, -2.064, 4.276]],
  "species": ["In", "Au", "Au", "Mg"],
  "frac_coords": [[0.500, 0.500, 0.000], [0.000, 0.000, 0.000], [0.750, 0.250, 0.500], [0.250, 0.750, 0.500]],
  "spacegroup": "I-4m2, No. 119",
  "m_tot_mub_per_fu": 0.000,
  "n_ef_per_ev_cell": 1.424,
  "volume_a3_per_cell": 72.8,
  "formation_enthalpy_0k_mev_per_atom": -347
}



(9)
{
  "formula": "SbRuSe",
  "functional": "GGA-PBEsol",
  "state": "optimized geometry",
  "lattice_angstrom": [[-0.183, 1.510, 3.157], [2.407, -2.469, -0.624], [3.646, 3.983, -1.694]],
  "species": ["Se", "Ru", "Sb"],
  "frac_coords": [[0.667, 0.333, 0.264], [0.000, 0.000, 0.028], [0.333, 0.667, 0.708]],
  "spacegroup": "P3m1, No. 156",
  "m_tot_mub_per_fu": 0.001,
  "n_ef_per_ev_cell": 2.786,
  "volume_a3_per_cell": 60.2,
  "formation_energy_uncorrected_ev_per_atom": -0.03
}



(10)
{
  "formula": "Ga2PdI8",
  "functional": "GGA-PBEsol",
  "state": "optimized geometry",
  "lattice_angstrom": [[-1.075, -1.735, -7.201], [2.355, -7.596, 0.875], [-7.713, 1.634, 1.362]],
  "species": ["I", "I", "I", "Ga", "I", "I", "Ga", "I", "I", "I", "Pd"],
  "frac_coords": [[0.145, 0.105, 0.338], [0.309, 0.606, 0.394], [0.855, 0.338, 0.105], [0.340, 0.787, 0.213], [0.145, 0.662, 0.895], [0.855, 0.895, 0.662], [0.660, 0.213, 0.787], [0.340, 0.168, 0.832], [0.660, 0.832, 0.168], [0.691, 0.394, 0.606], [0.000, 0.000, 0.000]],
  "spacegroup": "C2/m, No. 12",
  "m_tot_mub_per_fu": 0.001,
  "volume_a3_per_cell": 424.1,
  "formation_energy_uncorrected_ev_per_atom": -0.37
}



(11)
{
  "formula": "Li2SiRu",
  "functional": "GGA-PBEsol",
  "state": "optimized geometry",
  "lattice_angstrom": [[2.875, 0.000, 0.000], [0.000, 3.928, -0.031], [-1.437, -1.936, 4.451]],
  "species": ["Li", "Si", "Ru", "Li"],
  "frac_coords": [[0.747, 0.747, 0.495], [0.000, 0.500, 0.000], [0.500, 0.000, 0.000], [0.253, 0.253, 0.505]],
  "spacegroup": "C2/m, No. 12",
  "m_tot_mub_per_fu": 0.005,
  "n_ef_per_ev_cell": 2.658,
  "volume_a3_per_cell": 50.1,
  "formation_energy_uncorrected_ev_per_atom": -0.30
}



(12)
{
  "formula": "CoRhAu2",
  "functional": "GGA-PBEsol",
  "state": "optimized geometry",
  "lattice_angstrom": [[2.769, 0.000, 0.000], [-1.384, 4.538, 0.004], [0.000, -0.963, 4.635]],
  "species": ["Co", "Au", "Au", "Rh"],
  "frac_coords": [[0.506, 0.013, 0.515], [0.757, 0.514, 0.257], [0.997, 0.993, 0.994], [0.240, 0.480, 0.734]],
  "spacegroup": "Cm, No. 8",
  "m_tot_mub_per_fu": 2.476,
  "n_ef_per_ev_cell": 3.907,
  "volume_a3_per_cell": 58.3,
  "formation_enthalpy_0k_mev_per_atom": 199
}



(13)
{
  "formula": "Cr2InRh",
  "functional": "GGA-PBEsol",
  "state": "optimized geometry",
  "lattice_angstrom": [[-2.544, 3.529, -0.353], [-2.657, 0.440, -3.435], [-4.318, -0.362, 0.521]],
  "species": ["Rh", "Cr", "Cr", "In"],
  "frac_coords": [[0.250, 0.250, 0.250], [0.000, 0.000, 0.000], [0.750, 0.750, 0.750], [0.500, 0.500, 0.500]],
  "spacegroup": "F-43m, No. 216",
  "m_tot_mub_per_fu": 0.103,
  "n_ef_per_ev_cell": 4.138,
  "volume_a3_per_cell": 58.8,
  "formation_enthalpy_0k_mev_per_atom": 148
}



(14)
{
  "formula": "CdSnB3",
  "functional": "GGA-PBEsol",
  "state": "optimized geometry",
  "lattice_angstrom": [[-2.139, -0.915, -3.717], [3.826, -0.664, -2.038], [-0.137, -4.237, 1.122]],
  "species": ["B", "B", "B", "Sn", "Cd"],
  "frac_coords": [[0.500, 0.000, 0.000], [0.000, 0.500, 0.000], [0.000, 0.000, 0.500], [0.500, 0.500, 0.500], [0.000, 0.000, 0.000]],
  "spacegroup": "Pm-3m, No. 221",
  "m_tot_mub_per_fu": 0.000,
  "n_ef_per_ev_cell": 2.488,
  "volume_a3_per_cell": 84.4,
  "formation_enthalpy_0k_mev_per_atom": 2105
}



(15)
{
  "formula": "Al3MoAs",
  "functional": "GGA-PBEsol",
  "state": "optimized geometry",
  "lattice_angstrom": [[-1.219, 4.126, 1.883], [-4.112, -1.828, 1.342], [1.912, -1.301, 4.088]],
  "species": ["Al", "Al", "Al", "As", "Mo"],
  "frac_coords": [[0.000, 0.500, 0.000], [0.500, 0.000, 0.000], [0.000, 0.000, 0.500], [0.000, 0.000, 0.000], [0.500, 0.500, 0.500]],
  "spacegroup": "Pm-3m, No. 221",
  "m_tot_mub_per_fu": 3.009,
  "n_ef_per_ev_cell": 3.658,
  "volume_a3_per_cell": 103.6,
  "formation_enthalpy_0k_mev_per_atom": 1223
}



(16)
{
  "formula": "HfOsSe2",
  "functional": "GGA-PBEsol",
  "state": "optimized geometry",
  "lattice_angstrom": [[3.132, 0.000, 0.000], [1.566, 2.713, 0.000], [1.566, 0.904, 8.557]],
  "species": ["Os", "Hf", "Se", "Se"],
  "frac_coords": [[0.000, 0.000, 0.000], [0.500, 0.500, 0.500], [0.092, 0.092, 0.725], [0.908, 0.908, 0.275]],
  "spacegroup": "R-3m, No. 166",
  "m_tot_mub_per_fu": 0.000,
  "n_ef_per_ev_cell": 2.383,
  "volume_a3_per_cell": 72.7,
  "formation_energy_uncorrected_ev_per_atom": -0.03
}



(17)
{
  "formula": "SnSb2SI",
  "functional": "GGA-PBEsol",
  "state": "optimized geometry",
  "lattice_angstrom": [[-1.111, 1.954, -5.062], [-5.324, -1.787, 0.478], [-1.465, 4.962, 2.237]],
  "species": ["I", "Sb", "Sn", "Sb", "S"],
  "frac_coords": [[0.500, 0.000, 0.000], [0.000, 0.500, 0.000], [0.000, 0.000, 0.000], [0.000, 0.000, 0.500], [0.500, 0.500, 0.500]],
  "spacegroup": "P4/mmm, No. 123",
  "m_tot_mub_per_fu": 0.329,
  "n_ef_per_ev_cell": 5.641,
  "volume_a3_per_cell": 176.0,
  "formation_energy_uncorrected_ev_per_atom": 0.96
}



(18)
{
  "formula": "Be2SbPb",
  "functional": "GGA-PBEsol",
  "state": "optimized geometry",
  "lattice_angstrom": [[-2.101, 2.495, -1.437], [-2.573, -3.277, -1.927], [-2.670, -0.099, 3.733]],
  "species": ["Be", "Pb", "Be", "Sb"],
  "frac_coords": [[0.000, 0.500, 0.000], [0.500, 0.500, 0.500], [0.000, 0.000, 0.500], [0.500, 0.000, 0.000]],
  "spacegroup": "P4/mmm, No. 123",
  "m_tot_mub_per_fu": 0.000,
  "n_ef_per_ev_cell": 1.797,
  "volume_a3_per_cell": 75.1,
  "formation_energy_uncorrected_ev_per_atom": 0.73
}



(19)
{
  "formula": "TlCuSe",
  "functional": "GGA-PBEsol",
  "state": "optimized geometry",
  "lattice_angstrom": [[-2.214, 3.099, -1.450], [-1.673, -3.697, 0.382], [-1.377, 1.078, 4.407]],
  "species": ["Se", "Tl", "Cu"],
  "frac_coords": [[0.333, 0.667, 0.834], [0.667, 0.333, 0.334], [0.000, 0.000, 0.832]],
  "spacegroup": "P3m1, No. 156",
  "m_tot_mub_per_fu": 0.000,
  "n_ef_per_ev_cell": 0.622,
  "volume_a3_per_cell": 68.2,
  "formation_energy_uncorrected_ev_per_atom": -0.21
}



(20)
{
  "formula": "BeRhC3",
  "functional": "GGA-PBEsol",
  "state": "optimized geometry",
  "lattice_angstrom": [[-3.216, 0.340, -2.196], [-0.388, -3.889, -0.033], [-2.187, 0.190, 3.234]],
  "species": ["C", "C", "Rh", "C", "Be"],
  "frac_coords": [[0.000, 0.500, 0.000], [0.500, 0.000, 0.000], [0.000, 0.000, 0.000], [0.000, 0.000, 0.500], [0.500, 0.500, 0.500]],
  "spacegroup": "Pm-3m, No. 221",
  "m_tot_mub_per_fu": 0.002,
  "n_ef_per_ev_cell": 4.725,
  "volume_a3_per_cell": 59.7,
  "formation_enthalpy_0k_mev_per_atom": 2558
}